*one*
VASP calculation (PBE) on an optimized crystal structure of Tl3Re.

a b c (Å): 9.9664 9.9664 3.2862
angles (deg): 90.00 90.00 120.00
Space group R-3m (No. 166, hexagonal axes)
Inequivalent atoms, fractional coordinates:
Tl1 0.0000 0.5000 0.0000
Re1 0.0000 0.0000 0.0000



*two*
VASP calculation (PBE) on an optimized crystal structure of Tl3Re.

a b c (Å): 4.5995 4.5995 4.5995
angles (deg): 90.00 90.00 90.00
Space group Pm-3m (No. 221)
Inequivalent atoms, fractional coordinates:
Tl1 0.0000 0.0000 0.5000
Re1 0.5000 0.5000 0.5000



Short version: *one*, *two*, most stable first.



*one*
VASP calculation (PBE) on an optimized crystal structure of B5C7.

a b c (Å): 4.7976 2.5668 6.4245
angles (deg): 90.00 99.55 90.00
Space group Pm (No. 6)
Inequivalent atoms, fractional coordinates:
B1 0.0000 0.0000 0.0000
B2 0.0382 0.0000 0.7183
B3 0.2876 0.0000 0.2832
B4 0.3580 0.0000 0.0187
B5 0.6837 0.0000 0.3904
C1 0.1503 0.5000 0.3913
C2 0.2024 0.5000 0.6224
C3 0.5227 0.5000 0.7118
C4 0.5291 0.5000 0.9509
C5 0.6683 0.0000 0.6409
C6 0.8192 0.5000 0.0650
C7 0.8404 0.5000 0.2983



*two*
VASP calculation (PBE) on an optimized crystal structure of B5C7.

a b c (Å): 3.9189 2.5593 7.9979
angles (deg): 90.00 91.17 90.00
Space group Pm (No. 6)
Inequivalent atoms, fractional coordinates:
B1 0.0000 0.0000 0.0000
B2 0.0450 0.0000 0.3312
B3 0.4481 0.5000 0.8655
B4 0.7218 0.5000 0.3457
B5 0.7951 0.5000 0.6329
C1 0.0253 0.0000 0.6677
C2 0.2336 0.0000 0.8260
C3 0.2638 0.0000 0.5094
C4 0.2780 0.0000 0.1730
C5 0.4826 0.5000 0.5081
C6 0.4886 0.5000 0.1554
C7 0.7333 0.5000 0.0078



Short version: *one*, *two*, most stable first.



*one*
VASP calculation (PBE) on an optimized crystal structure of Zn2Cu2Te.

a b c (Å): 7.5075 7.5075 2.9494
angles (deg): 90.00 90.00 90.00
Space group P4/mbm (No. 127)
Inequivalent atoms, fractional coordinates:
Zn1 0.1233 0.3767 0.0000
Cu1 0.1717 0.6717 0.5000
Te1 0.0000 0.0000 0.5000



*two*
VASP calculation (PBE) on an optimized crystal structure of Zn2Cu2Te.

a b c (Å): 3.7194 3.7194 12.1643
angles (deg): 90.00 90.00 90.00
Space group I4/mmm (No. 139)
Inequivalent atoms, fractional coordinates:
Zn1 0.0000 0.5000 0.2500
Cu1 0.0000 0.0000 0.1028
Te1 0.0000 0.0000 0.5000



Short version: *two*, *one*, most stable first.



*one*
VASP calculation (PBE) on an optimized crystal structure of SrCa2Re.

a b c (Å): 7.6494 7.6494 7.6494
angles (deg): 90.00 90.00 90.00
Space group Fm-3m (No. 225)
Inequivalent atoms, fractional coordinates:
Sr1 0.0000 0.0000 0.0000
Ca1 0.2500 0.2500 0.2500
Re1 0.0000 0.0000 0.5000



*two*
VASP calculation (PBE) on an optimized crystal structure of SrCa2Re.

a b c (Å): 6.7215 11.1267 3.2360
angles (deg): 90.00 112.44 90.00
Space group C2/m (No. 12)
Inequivalent atoms, fractional coordinates:
Sr1 0.0000 0.0000 0.0000
Ca1 0.2500 0.2500 0.5000
Re1 0.0000 0.5000 0.0000



Short version: *one*, *two*, most stable first.



*one*
VASP calculation (PBE) on an optimized crystal structure of MgRe.

a b c (Å): 2.6729 2.6729 4.5165
angles (deg): 90.00 90.00 90.00
Space group P4/mmm (No. 123)
Inequivalent atoms, fractional coordinates:
Mg1 0.0000 0.0000 0.0000
Re1 0.5000 0.5000 0.5000



*two*
VASP calculation (PBE) on an optimized crystal structure of MgRe.

a b c (Å): 3.4698 3.4698 2.6720
angles (deg): 90.00 90.00 90.00
Space group P4/mmm (No. 123)
Inequivalent atoms, fractional coordinates:
Mg1 0.0000 0.0000 0.0000
Re1 0.5000 0.5000 0.5000



Short version: *one*, *two*, most stable first.



*one*
VASP calculation (PBE) on an optimized crystal structure of AgPt2.

a b c (Å): 5.3242 5.3242 8.5320
angles (deg): 90.00 90.00 120.00
Space group P6_3/mmc (No. 194)
Inequivalent atoms, fractional coordinates:
Ag1 0.3333 0.6667 0.0614
Pt1 0.0000 0.0000 0.0000
Pt2 0.1705 0.3409 0.7500



*two*
VASP calculation (PBE) on an optimized crystal structure of AgPt2.

a b c (Å): 6.9911 5.7407 4.8554
angles (deg): 90.00 92.00 90.00
Space group P2_1/c (No. 14)
Inequivalent atoms, fractional coordinates:
Ag1 0.1633 0.1285 0.0829
Pt1 0.1728 0.6295 0.0797
Pt2 0.4975 0.6221 0.7506



Short version: *two*, *one*, most stable first.